KTl2W2O7 | PBE with a Hubbard U | optimized geometry

a = 3.984 Å, b = 3.984 Å, c = 12.109 Å
α = 80.58°, β = 80.58°, γ = 90.00°
Sites, in units of the cell vectors:
O (0.417, 0.917, 0.168)
O (0.083, 0.583, 0.832)
O (0.665, 0.665, 0.668)
O (0.917, 0.417, 0.168)
O (0.583, 0.083, 0.832)
O (0.335, 0.335, 0.332)
O (0.500, 0.500, 0.000)
Tl (0.188, 0.188, 0.623)
Tl (0.812, 0.812, 0.377)
K (0.000, 0.000, 0.000)
W (0.586, 0.586, 0.827)
W (0.414, 0.414, 0.173)

E   -0.2305 Ha/atom